A plane-wave DFT calculation with GGA-PBEsol was carried out for a relaxed LaAgSb2 crystal.

Structure (POSCAR):
```
LaAgSb2
1.0
3.386 0.000 0.000
0.000 3.386 0.000
0.000 0.000 9.061
Sb Ag La
2 1 1
direct
0.500 0.500 0.300
0.000 0.000 0.986
0.000 0.000 0.485
0.500 0.500 0.729
```

V = 103.9 Å³/f.u.
density of states at the Fermi level = 2.033 states/eV per cell
space-group type = P4mm
uncorrected formation energy = -188 meV per atom
final energy = -18.52 eV/f.u.
excess energy over the best structure of this formula in the dataset = 0.588 eV per atom